{"formula": "V2PH10C2N2O8F", "functional": "PBE+U", "state": "optimized geometry", "crystal_system": "orthorhombic", "vol_a3_per_atom": 9.6, "energy_ev_per_cell": -639.99, "mass_density_g_cm3": 2.3, "lattice": [[-5.7247, 5.1859, 3.5907], [1.8828, -3.6757, 8.3104], [8.9869, 8.6740, 1.8005]], "species": ["H", "V", "O", "H", "H", "H", "H", "H", "C", "C", "V", "H", "O", "P", "H", "O", "O", "H", "H", "H", "H", "O", "H", "O", "H", "H", "H", "O", "C", "O", "N", "C", "O", "N", "O", "O", "H", "N", "P", "V", "H", "N", "O", "V", "V", "H", "N", "V", "H", "O", "H", "O", "H", "V", "O", "H", "O", "O", "O", "H", "F", "O", "O", "F", "H", "H", "O", "O", "C", "H", "H", "C", "O", "H", "H", "N", "H", "H", "O", "H", "H", "P", "H", "O", "F", "H", "P", "H", "N", "O", "O", "F", "V", "H", "N", "C", "H", "H", "O", "C", "O", "O", "O", "O"], "fractional_positions": [[0.8289, 0.5231, 0.8433], [0.9845, 0.7024, 0.5036], [0.7188, 0.9966, 0.2429], [0.4418, 0.0928, 0.7980], [0.0411, 0.0000, 0.1840], [0.2852, 0.7924, 0.7252], [0.3388, 0.9054, 0.2865], [0.5944, 0.6694, 0.2275], [0.7253, 0.4805, 0.2647], [0.2747, 0.9805, 0.2353], [0.5155, 0.2976, 0.0036], [0.2148, 0.2076, 0.2252], [0.4011, 0.6756, 0.3846], [0.2337, 0.4350, 0.8681], [0.2424, 0.7463, 0.9140], [0.5989, 0.1756, 0.1154], [0.6009, 0.1873, 0.3945], [0.3289, 0.9769, 0.1567], [0.2760, 0.0737, 0.4363], [0.9418, 0.4072, 0.2020], [0.6080, 0.6743, 0.8162], [0.2761, 0.4420, 0.4508], [0.3970, 0.8554, 0.8906], [0.2188, 0.5034, 0.7571], [0.7240, 0.5737, 0.0637], [0.0944, 0.8306, 0.7725], [0.4056, 0.1694, 0.2725], [0.0989, 0.3244, 0.8846], [0.2253, 0.0195, 0.7353], [0.9011, 0.8244, 0.6154], [0.2732, 0.8487, 0.8867], [0.2831, 0.1341, 0.2752], [0.1009, 0.3127, 0.6055], [0.6104, 0.5739, 0.7754], [0.6031, 0.8586, 0.6255], [0.7761, 0.0580, 0.5492], [0.5582, 0.5928, 0.7020], [0.7732, 0.6513, 0.1133], [0.7663, 0.9350, 0.6319], [0.7606, 0.9344, 0.8913], [0.7852, 0.7076, 0.2748], [0.7268, 0.3487, 0.6133], [0.3991, 0.6873, 0.1055], [0.7394, 0.0656, 0.3913], [0.2606, 0.5656, 0.1087], [0.7576, 0.2463, 0.5860], [0.1104, 0.9261, 0.2246], [0.0155, 0.2024, 0.9964], [0.8388, 0.5946, 0.7135], [0.2812, 0.4966, 0.2571], [0.1711, 0.0231, 0.6567], [0.8386, 0.5870, 0.4904], [0.8970, 0.6446, 0.1094], [0.2394, 0.4344, 0.6087], [0.3741, 0.3755, 0.0810], [0.6612, 0.4054, 0.2135], [0.8741, 0.1245, 0.9190], [0.7812, 0.0034, 0.7429], [0.0935, 0.6624, 0.1307], [0.7148, 0.2924, 0.7748], [0.0401, 0.3705, 0.0843], [0.1614, 0.0870, 0.0096], [0.2239, 0.5580, 0.9508], [0.4599, 0.6295, 0.5843], [0.9589, 0.5000, 0.3160], [0.8920, 0.3257, 0.3162], [0.4065, 0.3376, 0.6307], [0.9065, 0.1624, 0.3693], [0.2169, 0.8659, 0.7752], [0.2240, 0.9263, 0.9363], [0.1612, 0.0946, 0.7865], [0.7831, 0.3659, 0.7248], [0.3386, 0.9130, 0.5096], [0.6711, 0.4769, 0.3433], [0.2576, 0.2537, 0.4140], [0.2268, 0.1513, 0.3867], [0.0582, 0.9072, 0.2980], [0.9056, 0.3306, 0.7275], [0.5935, 0.8376, 0.8693], [0.1030, 0.1446, 0.3906], [0.3920, 0.1743, 0.6838], [0.7337, 0.0650, 0.1319], [0.1080, 0.8257, 0.1838], [0.1259, 0.6245, 0.5810], [0.9599, 0.8705, 0.4157], [0.6030, 0.3554, 0.6094], [0.2663, 0.5650, 0.3681], [0.7760, 0.4263, 0.5637], [0.3896, 0.0739, 0.7246], [0.3969, 0.3586, 0.8745], [0.6614, 0.4130, 0.9904], [0.5401, 0.1295, 0.9157], [0.4845, 0.7976, 0.4964], [0.4589, 0.0000, 0.6840], [0.8896, 0.4261, 0.2754], [0.7169, 0.6341, 0.2248], [0.5411, 0.5000, 0.8160], [0.7424, 0.7537, 0.0860], [0.7239, 0.9420, 0.0492], [0.7747, 0.5195, 0.7647], [0.8991, 0.8127, 0.8945], [0.8969, 0.1414, 0.1255], [0.6259, 0.8755, 0.4190], [0.1031, 0.6414, 0.3745]]}